Run P
A plane-wave DFT calculation with PBE was carried out for a geometry-optimized KMn2Os structure.

Unit cell a=2.688 b=5.454 c=4.972 alpha=90.00 beta=90.00 gamma=90.00
Last column: magnetic moment on the atom in μB.
Sites, in units of the cell vectors:
K: 0.000 0.500 0.500  0.01
Mn: 0.500 0.500 0.000  3.74
Mn: 0.000 0.000 0.000  3.49
Os: 0.500 0.000 0.500  0.27

Values from the calculation:
Spin magnetization = 7.9 μB per cell



Run Q
A plane-wave DFT calculation with PBE was carried out for a geometry-optimized KMn2Os structure.

Unit cell a=6.059 b=6.059 c=6.059 alpha=153.39 beta=130.81 gamma=56.80
Last column: magnetic moment on the atom in μB.
Sites, in units of the cell vectors:
K: 0.735 0.235 0.500  0.02
Mn: 0.276 0.776 0.500  3.29
Mn: 0.026 0.026 0.000  3.72
Os: 0.464 0.464 0.000  -0.22

Values from the calculation:
Spin magnetization = 7.2 μB per cell



Which one sits at the bottom of the stability order? run P does.



Run P
A plane-wave DFT calculation with PBE was carried out for a geometry-optimized KMn2Os structure.

Unit cell a=4.676 b=4.676 c=4.676 alpha=60.00 beta=60.00 gamma=60.00
Last column: magnetic moment on the atom in μB.
Sites, in units of the cell vectors:
Mn: 0.000 0.000 0.000  3.48
Mn: 0.250 0.250 0.250  3.99
Os: 0.750 0.750 0.750  0.23
K: 0.500 0.500 0.500  0.01

Values from the calculation:
Spin magnetization = 8.1 μB per cell



Run Q
A plane-wave DFT calculation with PBE was carried out for a geometry-optimized KMn2Os structure.

Unit cell a=6.271 b=6.271 c=6.271 alpha=154.50 beta=125.30 gamma=61.28
Last column: magnetic moment on the atom in μB.
Sites, in units of the cell vectors:
K: 0.750 0.250 0.500  0.00
Mn: 0.446 0.446 0.000  3.63
Mn: 0.054 0.054 0.000  3.63
Os: 0.250 0.750 0.500  -0.16

Values from the calculation:
Spin magnetization = 7.5 μB per cell



Run R
A plane-wave DFT calculation with PBE was carried out for a geometry-optimized KMn2Os structure.

Unit cell a=10.140 b=10.140 c=10.140 alpha=15.77 beta=15.77 gamma=15.77
Last column: magnetic moment on the atom in μB.
Sites, in units of the cell vectors:
K: 0.751 0.751 0.751  -0.01
Mn: 0.248 0.248 0.248  1.67
Mn: 0.983 0.983 0.983  3.28
Os: 0.517 0.517 0.517  -0.17

Values from the calculation:
Spin magnetization = 4.9 μB per cell



Run S
A plane-wave DFT calculation with PBE was carried out for a geometry-optimized KMn2Os structure.

Unit cell a=7.130 b=7.130 c=5.899 alpha=52.81 beta=52.81 gamma=90.00
Sites, in units of the cell vectors:
K: 0.250 0.750 0.500
K: 0.500 0.500 0.000
Mn: 0.702 0.125 0.250
Mn: 0.048 0.625 0.250
Mn: 0.375 0.298 0.750
Mn: 0.875 0.952 0.750
Os: 0.750 0.250 0.500
Os: 0.000 0.000 0.000

Values from the calculation:
Spin magnetization = 0.0 μB per cell



Which one sits at the bottom of the stability order? run S does.



Run P
A plane-wave DFT calculation with PBE was carried out for a geometry-optimized K2MnOs structure.

Unit cell a=5.816 b=2.798 c=7.366 alpha=44.42 beta=90.00 gamma=90.00
Last column: magnetic moment on the atom in μB.
Sites, in units of the cell vectors:
K: 0.000 0.520 0.501  -0.02
K: 0.000 0.980 0.999  -0.02
Os: 0.500 0.750 0.750  0.13
Mn: 0.500 0.250 0.250  3.68

Values from the calculation:
Spin magnetization = 3.9 μB per cell



Run Q
A plane-wave DFT calculation with PBE was carried out for a geometry-optimized K2MnOs structure.

Unit cell a=10.472 b=10.472 c=10.472 alpha=157.10 beta=164.26 gamma=27.91
Last column: magnetic moment on the atom in μB.
Sites, in units of the cell vectors:
K: 0.897 0.897 0.000  0.00
K: 0.603 0.603 0.000  0.00
Os: 0.250 0.750 0.500  -0.23
Mn: 0.750 0.250 0.500  3.02

Values from the calculation:
Spin magnetization = 3.0 μB per cell



Which one sits at the bottom of the stability order? run P does.



Run P
A plane-wave DFT calculation with PBE was carried out for a geometry-optimized K2MnOs structure.

Unit cell a=2.807 b=2.807 c=11.709 alpha=90.00 beta=90.00 gamma=90.00
Last column: magnetic moment on the atom in μB.
Sites, in units of the cell vectors:
K: 0.000 0.000 0.519  -0.01
K: 0.000 0.000 0.981  -0.01
Os: 0.500 0.500 0.750  -0.39
Mn: 0.500 0.500 0.250  3.85

Values from the calculation:
Spin magnetization = 3.5 μB per cell



Run Q
A plane-wave DFT calculation with PBE was carried out for a geometry-optimized K2MnOs structure.

Unit cell a=2.870 b=2.870 c=11.864 alpha=90.00 beta=90.00 gamma=117.36
Last column: magnetic moment on the atom in μB.
Sites, in units of the cell vectors:
Mn: 0.500 0.500 0.250  3.82
K: 0.000 0.000 0.986  -0.02
K: 0.000 0.000 0.514  -0.02
Os: 0.500 0.500 0.750  0.07

Values from the calculation:
Spin magnetization = 4.0 μB per cell



Which one sits at the bottom of the stability order? run P does.



Run P
A plane-wave DFT calculation with PBE was carried out for a geometry-optimized K2MnOs structure.

Unit cell a=5.081 b=5.081 c=5.081 alpha=120.01 beta=120.01 gamma=89.98
Last column: magnetic moment on the atom in μB.
Sites, in units of the cell vectors:
K: 0.250 0.750 0.500  0.02
K: 0.000 0.000 0.000  -0.01
Mn: 0.500 0.500 0.000  4.04
Os: 0.750 0.250 0.500  -0.24

Values from the calculation:
Spin magnetization = 4.1 μB per cell



Run Q
A plane-wave DFT calculation with PBE was carried out for a geometry-optimized K2MnOs structure.

Unit cell a=6.274 b=6.274 c=6.274 alpha=142.97 beta=142.97 gamma=53.38
Last column: magnetic moment on the atom in μB.
Sites, in units of the cell vectors:
Os: 0.750 0.250 0.500  -0.06
K: 0.500 0.500 0.000  0.00
K: 0.000 0.000 0.000  0.00
Mn: 0.250 0.750 0.500  3.85

Values from the calculation:
Spin magnetization = 4.2 μB per cell



Which one sits at the bottom of the stability order? run P does.



Run P
A plane-wave DFT calculation with PBE was carried out for a geometry-optimized K2MnOs structure.

Unit cell a=2.757 b=5.679 c=5.679 alpha=90.00 beta=90.00 gamma=90.00
Last column: magnetic moment on the atom in μB.
Sites, in units of the cell vectors:
Os: 0.500 0.500 0.750  0.04
Mn: 0.500 0.500 0.250  3.76
K: 0.000 0.000 0.995  -0.01
K: 0.000 0.000 0.505  -0.01

Values from the calculation:
Spin magnetization = 4.0 μB per cell



Run Q
A plane-wave DFT calculation with PBE was carried out for a geometry-optimized K2MnOs structure.

Unit cell a=3.998 b=3.998 c=9.935 alpha=80.08 beta=80.08 gamma=60.00
Last column: magnetic moment on the atom in μB.
Sites, in units of the cell vectors:
Mn: 0.458 0.458 0.625  1.82
K: 0.048 0.048 0.894  0.00
K: 0.202 0.202 0.356  0.00
Os: 0.792 0.792 0.625  -0.26

Values from the calculation:
Spin magnetization = 1.9 μB per cell



Run R
A plane-wave DFT calculation with PBE was carried out for a geometry-optimized K2MnOs structure.

Unit cell a=10.339 b=10.339 c=4.091 alpha=80.07 beta=80.07 gamma=16.00
Last column: magnetic moment on the atom in μB.
Sites, in units of the cell vectors:
Os: 0.750 0.750 0.750  -0.10
K: 0.898 0.898 0.091  0.01
K: 0.602 0.602 0.409  0.01
Mn: 0.250 0.250 0.250  2.86

Values from the calculation:
Spin magnetization = 3.2 μB per cell



Which one sits at the bottom of the stability order? run P does.



Run P
A plane-wave DFT calculation with PBE was carried out for a geometry-optimized K2MnOs structure.

Unit cell a=5.627 b=3.965 c=3.965 alpha=90.00 beta=90.00 gamma=90.00
Last column: magnetic moment on the atom in μB.
Sites, in units of the cell vectors:
Mn: 0.500 0.500 0.000  3.69
Os: 0.500 0.000 0.500  -0.65
K: 0.000 0.500 0.500  -0.01
K: 0.000 0.000 0.000  -0.01

Values from the calculation:
Spin magnetization = 3.3 μB per cell



Run Q
A plane-wave DFT calculation with PBE was carried out for a geometry-optimized K2MnOs structure.

Unit cell a=11.985 b=11.985 c=11.985 alpha=13.81 beta=13.81 gamma=13.81
Last column: magnetic moment on the atom in μB.
Sites, in units of the cell vectors:
K: 0.496 0.496 0.496  -0.02
K: 0.004 0.004 0.004  -0.02
Mn: 0.250 0.250 0.250  3.59
Os: 0.750 0.750 0.750  0.17

Values from the calculation:
Spin magnetization = 3.7 μB per cell



Which one sits at the bottom of the stability order? run P does.



Run P
A plane-wave DFT calculation with PBE was carried out for a geometry-optimized KMnOs3 structure.

Unit cell a=4.482 b=4.482 c=4.482 alpha=90.00 beta=90.00 gamma=90.00
Last column: magnetic moment on the atom in μB.
Sites, in units of the cell vectors:
Os: 0.000 0.500 0.000  -0.04
Os: 0.000 0.000 0.500  0.03
Os: 0.500 0.000 0.000  -0.03
Mn: 0.500 0.500 0.500  0.35
K: 0.000 0.000 0.000  0.01

Values from the calculation:
Spin magnetization = 0.3 μB per cell



Run Q
A plane-wave DFT calculation with PBE was carried out for a geometry-optimized KMnOs3 structure.

Unit cell a=4.556 b=4.556 c=4.556 alpha=90.00 beta=90.00 gamma=90.00
Last column: magnetic moment on the atom in μB.
Sites, in units of the cell vectors:
Mn: 0.000 0.000 0.000  -0.06
Os: 0.500 0.000 0.000  0.17
Os: 0.000 0.500 0.000  0.18
Os: 0.000 0.000 0.500  0.06
K: 0.500 0.500 0.500  0.00

Values from the calculation:
Spin magnetization = 0.4 μB per cell



Which one sits at the bottom of the stability order? run P does.



Run P
A plane-wave DFT calculation with PBE was carried out for a geometry-optimized KMn3Os structure.

Unit cell a=4.107 b=4.107 c=4.107 alpha=90.00 beta=90.00 gamma=90.00
Sites, in units of the cell vectors:
Mn: 0.000 0.500 0.000
Mn: 0.000 0.000 0.500
Mn: 0.500 0.000 0.000
K: 0.000 0.000 0.000
Os: 0.500 0.500 0.500

Values from the calculation:
Spin magnetization = 0.0 μB per cell



Run Q
A plane-wave DFT calculation with PBE was carried out for a geometry-optimized KMn3Os structure.

Unit cell a=4.940 b=4.940 c=4.940 alpha=90.00 beta=90.00 gamma=90.00
Last column: magnetic moment on the atom in μB.
Sites, in units of the cell vectors:
Mn: 0.000 0.500 0.000  3.87
Mn: 0.500 0.000 0.000  3.93
Mn: 0.000 0.000 0.500  3.75
K: 0.500 0.500 0.500  0.01
Os: 0.000 0.000 0.000  -0.22

Values from the calculation:
Spin magnetization = 12.2 μB per cell



Which one sits at the bottom of the stability order? run P does.



Run P
A plane-wave DFT calculation with PBE was carried out for a geometry-optimized KMnP2 structure.

Unit cell a=5.747 b=5.747 c=7.270 alpha=66.72 beta=66.72 gamma=90.00
Sites, in units of the cell vectors:
K: 0.250 0.750 0.500
K: 0.500 0.500 0.000
P: 0.875 0.125 0.750
P: 0.875 0.125 0.250
P: 0.875 0.625 0.250
P: 0.375 0.125 0.750
Mn: 0.750 0.250 0.500
Mn: 0.000 0.000 0.000

Values from the calculation:
Spin magnetization = 0.0 μB per cell



Run Q
A plane-wave DFT calculation with PBE was carried out for a geometry-optimized KMnP2 structure.

Unit cell a=4.791 b=4.791 c=4.791 alpha=60.00 beta=60.00 gamma=60.00
Last column: magnetic moment on the atom in μB.
Sites, in units of the cell vectors:
Mn: 0.750 0.750 0.750  4.02
P: 0.000 0.000 0.000  -0.10
P: 0.250 0.250 0.250  -0.11
K: 0.500 0.500 0.500  0.01

Values from the calculation:
Spin magnetization = 3.9 μB per cell



Run R
A plane-wave DFT calculation with PBE was carried out for a geometry-optimized KMnP2 structure.

Unit cell a=4.000 b=4.440 c=4.440 alpha=90.00 beta=90.00 gamma=90.00
Last column: magnetic moment on the atom in μB.
Sites, in units of the cell vectors:
P: 0.000 0.500 0.500  -0.02
P: 0.000 0.000 0.000  -0.02
K: 0.500 0.500 0.000  0.02
Mn: 0.500 0.000 0.500  4.21

Values from the calculation:
Spin magnetization = 4.5 μB per cell



Which one sits at the bottom of the stability order? run Q does.



Run P
A plane-wave DFT calculation with PBE was carried out for a geometry-optimized K2MnP2S6 structure.

Unit cell a=6.780 b=6.780 c=7.702 alpha=63.88 beta=63.88 gamma=60.00
Last column: magnetic moment on the atom in μB.
Sites, in units of the cell vectors:
K: 0.768 0.768 0.697  0.00
K: 0.232 0.232 0.303  0.00
S: 0.241 0.749 0.260  0.03
S: 0.749 0.241 0.260  0.03
S: 0.749 0.749 0.260  0.03
S: 0.251 0.759 0.740  0.03
S: 0.251 0.251 0.740  0.03
S: 0.759 0.251 0.740  0.03
Mn: 0.000 0.000 0.000  4.23
P: 0.441 0.441 0.677  0.04
P: 0.559 0.559 0.323  0.04

Values from the calculation:
Spin magnetization = 5.0 μB per cell



Run Q
A plane-wave DFT calculation with PBE was carried out for a geometry-optimized K2MnP2S6 structure.

Unit cell a=12.483 b=6.182 c=8.793 alpha=59.13 beta=90.00 gamma=90.00
Last column: magnetic moment on the atom in μB.
Sites, in units of the cell vectors:
Mn: 0.500 0.000 0.000  4.30
Mn: 0.000 0.000 0.500  4.30
S: 0.157 0.813 0.398  0.04
S: 0.049 0.449 0.242  0.02
S: 0.596 0.906 0.770  0.04
S: 0.951 0.551 0.758  0.02
S: 0.404 0.094 0.230  0.04
S: 0.096 0.094 0.730  0.04
S: 0.904 0.906 0.270  0.04
S: 0.657 0.187 0.102  0.04
S: 0.343 0.813 0.898  0.04
S: 0.451 0.449 0.742  0.02
S: 0.843 0.187 0.602  0.04
S: 0.549 0.551 0.258  0.02
K: 0.689 0.666 0.537  0.00
K: 0.189 0.334 0.963  0.00
K: 0.311 0.334 0.463  0.00
K: 0.811 0.666 0.037  0.00
P: 0.525 0.350 0.137  0.01
P: 0.025 0.650 0.363  0.01
P: 0.975 0.350 0.637  0.01
P: 0.475 0.650 0.863  0.01

Values from the calculation:
Spin magnetization = 10.0 μB per cell



Which one sits at the bottom of the stability order? run P does.



Run P
A plane-wave DFT calculation with PBE was carried out for a geometry-optimized KMnP2S structure.

Unit cell a=4.320 b=4.320 c=5.393 alpha=90.00 beta=90.00 gamma=90.00
Sites, in units of the cell vectors:
K: 0.500 0.500 0.500
P: 0.000 0.500 0.000
P: 0.500 0.000 0.000
S: 0.000 0.000 0.500
Mn: 0.000 0.000 0.000

Values from the calculation:
Spin magnetization = 0.0 μB per cell



Run Q
A plane-wave DFT calculation with PBE was carried out for a geometry-optimized KMnP2S structure.

Unit cell a=5.222 b=5.222 c=5.278 alpha=90.00 beta=90.00 gamma=90.00
Last column: magnetic moment on the atom in μB.
Sites, in units of the cell vectors:
Mn: 0.500 0.500 0.500  4.54
S: 0.000 0.000 0.500  -0.08
K: 0.000 0.000 0.000  -0.01
P: 0.000 0.500 0.000  -0.21
P: 0.500 0.000 0.000  -0.21

Values from the calculation:
Spin magnetization = 3.9 μB per cell



Which one sits at the bottom of the stability order? run Q does.